Material: NiIrOs
Method: DFT, PBE
State: relaxed

Total DFT energy (no corrections), eV for the cell shown: -25.63
Calculated formation energy, eV per atom: 0.08
Distance to the lowest polymorph of the same formula, eV per formula unit: 0.22
Total magnetization, μB/cell: 0.00

a b c (Å): 5.7958 5.7958 5.7958
angles (deg): 152.96 152.96 38.62
Sites, in units of the cell vectors:
Ir  0.0003  0.0003  0.0000
Ni  0.3303  0.3303  0.0000
Os  0.6694  0.6694  0.0000